(1)
A geometry-optimized ThAgRh2 structure, computed with PBE.

Summary:
Energy of formation: -0.640 eV/atom
Symmetry: No. 123
Spin magnetization: 0.00 μB/f.u.
N(E_F): 3.918 states/eV/f.u.

```
ThAgRh2
1.0
3.8833 0.0000 0.0000
0.0000 4.3759 0.0000
0.0000 0.0000 4.3759
Rh Ag Th
2 1 1
direct
0.0000 0.0000 0.5000
0.0000 0.5000 0.0000
0.5000 0.0000 0.0000
0.5000 0.5000 0.5000
```

---

(2)
A geometry-optimized Th2AgRh structure, computed with PBE.

Summary:
Energy of formation: -0.417 eV/atom
Symmetry: No. 166
Spin magnetization: 0.00 μB/f.u.
N(E_F): 3.119 states/eV/f.u.

```
Th2AgRh
1.0
4.0527 0.0000 0.0000
2.0264 3.5098 0.0000
2.0264 1.1699 7.6838
Rh Ag Th
1 1 2
direct
0.0000 0.0000 0.0000
0.5000 0.5000 0.5000
0.2620 0.2620 0.2140
0.7380 0.7380 0.7860
```

---

(3)
A geometry-optimized Th2AgRh2 structure, computed with PBE.

Summary:
Energy of formation: -0.727 eV/atom
Symmetry: No. 127
Spin magnetization: 0.00 μB/f.u.
N(E_F): 3.907 states/eV/f.u.

```
Th2AgRh2
1.0
3.7643 0.0000 0.0000
0.0000 7.7234 0.0000
0.0000 0.0000 7.7234
Th Ag Rh
4 2 4
direct
0.5000 0.1701 0.6701
0.5000 0.6701 0.8299
0.5000 0.8299 0.3299
0.5000 0.3299 0.1701
0.0000 0.0000 0.0000
0.0000 0.5000 0.5000
0.0000 0.3653 0.8653
0.0000 0.8653 0.6347
0.0000 0.6347 0.1347
0.0000 0.1347 0.3653
```

---

(4)
A geometry-optimized Th2AgRh structure, computed with PBE.

Summary:
Energy of formation: -0.411 eV/atom
Symmetry: No. 8
Spin magnetization: 0.00 μB/f.u.
N(E_F): 3.098 states/eV/f.u.

```
Th2AgRh
1.0
-1.5115 -2.0310 3.3109
2.0417 -3.2838 1.5554
3.9485 2.6876 6.0742
Th Ag Rh
2 1 1
direct
0.0702 0.0702 0.7880
0.2635 0.2635 0.2111
0.4999 0.4999 0.5001
0.6664 0.6664 0.0008
```

---

(5)
A geometry-optimized ThAgRh4 structure, computed with PBE.

Summary:
Energy of formation: -0.397 eV/atom
Symmetry: No. 216
Spin magnetization: 0.00 μB/f.u.
N(E_F): 5.782 states/eV/f.u.

```
ThAgRh4
1.0
-1.3782 2.0011 4.7316
-2.2957 -3.1236 3.6421
2.6870 -1.4099 4.3686
Rh Ag Th
4 1 1
direct
0.6255 0.6255 0.1234
0.6255 0.1234 0.6255
0.6255 0.6255 0.6255
0.1234 0.6255 0.6255
0.0000 0.0000 0.0000
0.2500 0.2500 0.2500
```

---

(6)
A geometry-optimized Th2AgRh structure, computed with PBE.

Summary:
Energy of formation: -0.390 eV/atom
Symmetry: No. 123
Spin magnetization: 0.00 μB/f.u.
N(E_F): 4.853 states/eV/f.u.

```
Th2AgRh
1.0
-3.3774 -1.2270 0.2422
1.1126 -3.2662 -1.0318
1.1994 -1.8745 7.2270
Rh Ag Th
1 1 2
direct
0.5000 0.5000 0.0000
0.5000 0.5000 0.5000
0.0000 0.0000 0.7730
0.0000 0.0000 0.2270
```

---

(7)
A geometry-optimized ThAgRh structure, computed with PBE.

Summary:
ΔE to the lowest computed polymorph: 169 meV per atom
Energy of formation: -0.386 eV/atom
Symmetry: No. 107
Spin magnetization: 0.00 μB/f.u.
N(E_F): 2.334 states/eV/f.u.

```
ThAgRh
1.0
3.7270 0.0000 0.0000
0.0000 3.7270 0.0000
-1.8635 -1.8635 4.7736
Rh Th Ag
1 1 1
direct
0.9653 0.9653 0.9306
0.5981 0.5981 0.1963
0.2865 0.2865 0.5731
```

---

(8)
A geometry-optimized ThAgRh structure, computed with PBE.

Summary:
ΔE to the lowest computed polymorph: 0 meV per atom
Energy of formation: -0.556 eV/atom
Symmetry: No. 12
Spin magnetization: 0.00 μB/f.u.
N(E_F): 1.812 states/eV/f.u.

```
ThAgRh
1.0
-3.3262 2.0873 -0.1549
-0.3961 -4.5465 -2.9066
-0.6816 -0.5220 7.6035
Th Ag Rh
2 2 2
direct
0.0648 0.1297 0.8199
0.9352 0.8703 0.1801
0.3350 0.6700 0.4486
0.6650 0.3300 0.5514
0.3443 0.6887 0.8456
0.6557 0.3113 0.1544
```

---

(9)
A geometry-optimized Th2TlAgRh structure, computed with PBE.

Summary:
Energy of formation: -0.405 eV/atom
Symmetry: No. 11
Spin magnetization: 0.00 μB/f.u.
N(E_F): 3.084 states/eV/f.u.

```
Th2TlAgRh
1.0
-2.0675 2.5735 2.2075
-1.9926 -6.1229 5.2718
7.0371 3.5768 2.4210
Th Tl Ag Rh
4 2 2 2
direct
0.7500 0.9006 0.6523
0.7500 0.7035 0.9930
0.2500 0.0994 0.3477
0.2500 0.2965 0.0070
0.2500 0.6873 0.3160
0.7500 0.3127 0.6840
0.2500 0.5640 0.6406
0.7500 0.4360 0.3594
0.2500 0.8926 0.8919
0.7500 0.1074 0.1081
```

---

(10)
A geometry-optimized ThTlAgRh structure, computed with PBE.

Summary:
Energy of formation: -0.239 eV/atom
Symmetry: No. 216
Spin magnetization: 0.00 μB/f.u.
N(E_F): 3.585 states/eV/f.u.

```
ThTlAgRh
1.0
4.9977 0.0000 0.0000
2.4989 4.3281 0.0000
2.4989 1.4427 4.0806
Tl Rh Ag Th
1 1 1 1
direct
0.2500 0.2500 0.2500
0.5000 0.5000 0.5000
0.0000 0.0000 0.0000
0.7500 0.7500 0.7500
```

---

(11)
A geometry-optimized TmThAgRh structure, computed with PBE.

Summary:
Energy of formation: -0.484 eV/atom
Symmetry: No. 216
Spin magnetization: 0.00 μB/f.u.
N(E_F): 2.095 states/eV/f.u.

```
TmThAgRh
1.0
5.0645 0.0000 0.0000
2.5322 4.3860 0.0000
2.5322 1.4620 4.1351
Tm Rh Ag Th
1 1 1 1
direct
0.5000 0.5000 0.5000
0.7500 0.7500 0.7500
0.2500 0.2500 0.2500
0.0000 0.0000 0.0000
```

---

(12)
A geometry-optimized YThAgRh structure, computed with PBE.

Summary:
Energy of formation: -0.454 eV/atom
Symmetry: No. 216
Spin magnetization: 0.00 μB/f.u.
N(E_F): 2.606 states/eV/f.u.

```
YThAgRh
1.0
-0.2336 1.1985 4.9492
-0.4080 -3.6852 3.4984
3.9349 -1.0512 3.0655
Y Rh Th Ag
1 1 1 1
direct
0.7500 0.7500 0.7500
0.5000 0.5000 0.5000
0.2500 0.2500 0.2500
0.0000 0.0000 0.0000
```

---

(13)
A geometry-optimized ThZnAgRh structure, computed with PBE.

Summary:
Energy of formation: -0.286 eV/atom
Symmetry: No. 216
Spin magnetization: 0.00 μB/f.u.
N(E_F): 3.480 states/eV/f.u.

```
ThZnAgRh
1.0
4.8600 0.0000 0.0000
2.4300 4.2089 0.0000
2.4300 1.4030 3.9681
Zn Rh Ag Th
1 1 1 1
direct
0.5000 0.5000 0.5000
0.7500 0.7500 0.7500
0.2500 0.2500 0.2500
0.0000 0.0000 0.0000
```

---

(14)
A geometry-optimized Ti2AgRh structure, computed with PBE.

Summary:
Energy of formation: -0.321 eV/atom
Symmetry: No. 123
Spin magnetization: 0.86 μB/f.u.
N(E_F): 4.355 states/eV/f.u.

```
Ti2AgRh
1.0
2.9496 0.0000 0.0000
0.0000 2.9496 0.0000
0.0000 0.0000 7.4374
Rh Ag Ti
1 1 2
direct
0.5000 0.5000 0.0000
0.5000 0.5000 0.5000
0.0000 0.0000 0.7727
0.0000 0.0000 0.2273
```

---

(15)
A geometry-optimized Ti2AgRh2 structure, computed with PBE.

Summary:
ΔE to the lowest computed polymorph: 97 meV per atom
Energy of formation: -0.420 eV/atom
Symmetry: No. 127
Spin magnetization: 0.00 μB/f.u.
N(E_F): 5.129 states/eV/f.u.

```
Ti2AgRh2
1.0
7.4771 0.0000 0.0000
0.0000 7.4771 0.0000
0.0000 0.0000 2.8921
Rh Ag Ti
4 2 4
direct
0.1469 0.6469 0.5000
0.6469 0.8531 0.5000
0.8531 0.3531 0.5000
0.3531 0.1469 0.5000
0.0000 0.0000 0.0000
0.5000 0.5000 0.0000
0.3531 0.8531 0.0000
0.8531 0.6469 0.0000
0.6469 0.1469 0.0000
0.1469 0.3531 0.0000
```

---

(16)
A geometry-optimized TiAgRh3 structure, computed with PBE.

Summary:
ΔE to the lowest computed polymorph: 0 meV per atom
Energy of formation: 0.573 eV/atom
Symmetry: No. 221
Spin magnetization: 0.00 μB/f.u.
N(E_F): 4.120 states/eV/f.u.

```
TiAgRh3
1.0
4.5293 0.0000 0.0000
0.0000 4.5293 0.0000
0.0000 0.0000 4.5293
Rh Ag Ti
3 1 1
direct
0.0000 0.5000 0.0000
0.0000 0.0000 0.5000
0.5000 0.0000 0.0000
0.5000 0.5000 0.5000
0.0000 0.0000 0.0000
```

---

(17)
A geometry-optimized Ti2AgRh structure, computed with PBE.

Summary:
Energy of formation: -0.258 eV/atom
Symmetry: No. 123
Spin magnetization: 0.78 μB/f.u.
N(E_F): 3.804 states/eV/f.u.

```
Ti2AgRh
1.0
-2.6031 -2.6531 -1.1105
2.0520 -2.8536 2.0074
-2.1898 0.7596 3.3183
Rh Ag Ti
1 1 2
direct
0.5000 0.5000 0.5000
0.5000 0.0000 0.0000
0.0000 0.0000 0.5000
0.0000 0.5000 0.0000
```

---

(18)
A geometry-optimized Ti2AgRh structure, computed with PBE.

Summary:
Energy of formation: 0.026 eV/atom
Symmetry: No. 122
Spin magnetization: 0.00 μB/f.u.
N(E_F): 3.653 states/eV/f.u.

```
Ti2AgRh
1.0
-4.9222 -5.0616 -0.9727
2.9608 -3.8777 5.1953
-2.6011 -3.2468 3.9475
Rh Ag Ti
2 2 4
direct
0.5000 0.5000 0.0000
0.2500 0.7500 0.5000
0.0000 0.0000 0.0000
0.7500 0.2500 0.5000
0.5927 0.1250 0.2500
0.1573 0.6250 0.2500
0.3750 0.4073 0.7500
0.8750 0.8427 0.7500
```

---

(19)
A geometry-optimized Ti2AgRh structure, computed with PBE.

Summary:
Energy of formation: 0.031 eV/atom
Symmetry: No. 166
Spin magnetization: 0.00 μB/f.u.
N(E_F): 5.603 states/eV/f.u.

```
Ti2AgRh
1.0
-0.6806 -0.6616 -2.6468
0.7528 -2.4914 -1.0644
-8.4781 -4.9728 1.9294
Rh Ag Ti
1 1 2
direct
0.5000 0.5000 0.5000
0.0000 0.0000 0.0000
0.0933 0.0933 0.7201
0.9067 0.9067 0.2799
```

---

(20)
A geometry-optimized TiAgRh3 structure, computed with PBE.

Summary:
ΔE to the lowest computed polymorph: 993 meV per atom
Energy of formation: 1.566 eV/atom
Symmetry: No. 221
Spin magnetization: 0.00 μB/f.u.
N(E_F): 7.877 states/eV/f.u.

```
TiAgRh3
1.0
-0.6419 4.4137 1.5497
-2.8940 -1.6036 3.3685
3.6751 -0.4919 2.9233
Rh Ag Ti
3 1 1
direct
0.0000 0.5000 0.0000
0.0000 0.0000 0.5000
0.5000 0.0000 0.0000
0.0000 0.0000 0.0000
0.5000 0.5000 0.5000
```

---

(21)
A geometry-optimized TiAgRh2 structure, computed with PBE.

Summary:
Energy of formation: 0.191 eV/atom
Symmetry: No. 122
Spin magnetization: 0.00 μB/f.u.
N(E_F): 4.983 states/eV/f.u.

```
TiAgRh2
1.0
3.9238 0.0000 0.0000
0.0000 3.9238 0.0000
1.9619 1.9619 8.7657
Rh Ag Ti
4 2 2
direct
0.6102 0.1250 0.2500
0.1398 0.6250 0.2500
0.3750 0.3898 0.7500
0.8750 0.8602 0.7500
0.0000 0.0000 0.0000
0.7500 0.2500 0.5000
0.5000 0.5000 0.0000
0.2500 0.7500 0.5000
```

---

(22)
A geometry-optimized TiAg3Rh structure, computed with PBE.

Summary:
ΔE to the lowest computed polymorph: 0 meV per atom
Energy of formation: 1.264 eV/atom
Symmetry: No. 221
Spin magnetization: 0.00 μB/f.u.
N(E_F): 16.742 states/eV/f.u.

```
TiAg3Rh
1.0
4.9354 0.0000 0.0000
0.0000 4.9354 0.0000
0.0000 0.0000 4.9354
Rh Ag Ti
1 3 1
direct
0.0000 0.0000 0.0000
0.0000 0.5000 0.0000
0.0000 0.0000 0.5000
0.5000 0.0000 0.0000
0.5000 0.5000 0.5000
```

---

(23)
A geometry-optimized Ti2AgRh2 structure, computed with PBE.

Summary:
ΔE to the lowest computed polymorph: 0 meV per atom
Energy of formation: -0.516 eV/atom
Symmetry: No. 127
Spin magnetization: 0.00 μB/f.u.
N(E_F): 3.586 states/eV/f.u.

```
Ti2AgRh2
1.0
7.3737 0.0000 0.0000
0.0000 7.3737 0.0000
0.0000 0.0000 2.9480
Rh Ag Ti
4 2 4
direct
0.3622 0.8622 0.0000
0.8622 0.6378 0.0000
0.6378 0.1378 0.0000
0.1378 0.3622 0.0000
0.0000 0.0000 0.0000
0.5000 0.5000 0.0000
0.1590 0.6590 0.5000
0.6590 0.8410 0.5000
0.8410 0.3410 0.5000
0.3410 0.1590 0.5000
```

---

(24)
A geometry-optimized TiAgRh2 structure, computed with PBE.

Summary:
Energy of formation: -0.411 eV/atom
Symmetry: No. 123
Spin magnetization: 0.00 μB/f.u.
N(E_F): 2.425 states/eV/f.u.

```
TiAgRh2
1.0
3.0484 0.0000 0.0000
0.0000 3.0484 0.0000
0.0000 0.0000 6.7183
Rh Ag Ti
2 1 1
direct
0.0000 0.0000 0.7828
0.0000 0.0000 0.2172
0.5000 0.5000 0.5000
0.5000 0.5000 0.0000
```

---

(25)
A geometry-optimized TiAgRh2 structure, computed with PBE.

Summary:
Energy of formation: -0.351 eV/atom
Symmetry: No. 123
Spin magnetization: 0.00 μB/f.u.
N(E_F): 4.564 states/eV/f.u.

```
TiAgRh2
1.0
3.7092 0.0000 0.0000
0.0000 4.0355 0.0000
0.0000 0.0000 4.0355
Rh Ag Ti
2 1 1
direct
0.0000 0.0000 0.5000
0.0000 0.5000 0.0000
0.5000 0.5000 0.5000
0.5000 0.0000 0.0000
```

---

(26)
A geometry-optimized TiAg3Rh structure, computed with PBE.

Summary:
ΔE to the lowest computed polymorph: 192 meV per atom
Energy of formation: 1.456 eV/atom
Symmetry: No. 221
Spin magnetization: 2.36 μB/f.u.
N(E_F): 7.173 states/eV/f.u.

```
TiAg3Rh
1.0
-3.9875 2.2166 1.5936
-2.7237 -3.4218 -2.0557
0.1855 -2.5945 4.0728
Rh Ag Ti
1 3 1
direct
0.5000 0.5000 0.5000
0.0000 0.5000 0.0000
0.0000 0.0000 0.5000
0.5000 0.0000 0.0000
0.0000 0.0000 0.0000
```

---

(27)
A geometry-optimized Ti4AgRh structure, computed with PBE.

Summary:
Energy of formation: -0.325 eV/atom
Symmetry: No. 123
Spin magnetization: 0.00 μB/f.u.
N(E_F): 3.832 states/eV/f.u.

```
Ti4AgRh
1.0
-2.9946 -0.2017 0.3922
-0.1170 -2.2319 -2.0412
1.5136 -7.2429 7.8328
Ti Ag Rh
4 1 1
direct
0.5000 0.5000 0.1834
0.0000 0.0000 0.6507
0.0000 0.0000 0.3493
0.5000 0.5000 0.8166
0.0000 0.0000 0.0000
0.5000 0.5000 0.5000
```

---

(28)
A geometry-optimized ZrTiAgRh structure, computed with PBE.

Summary:
Energy of formation: -0.263 eV/atom
Symmetry: No. 216
Spin magnetization: 0.00 μB/f.u.
N(E_F): 3.968 states/eV/f.u.

```
ZrTiAgRh
1.0
4.6473 0.0000 0.0000
2.3236 4.0247 0.0000
2.3236 1.3416 3.7945
Rh Zr Ag Ti
1 1 1 1
direct
0.2500 0.2500 0.2500
0.0000 0.0000 0.0000
0.7500 0.7500 0.7500
0.5000 0.5000 0.5000
```

---

Number 1: E_tot -0.2530 Ha/atom. Number 2: E_tot -0.2454 Ha/atom. Number 3: E_tot -0.2648 Ha/atom. Number 4: E_tot -0.2452 Ha/atom. Number 5: E_tot -0.2576 Ha/atom. Number 6: E_tot -0.2444 Ha/atom. Number 7: E_tot -0.2301 Ha/atom. Number 8: E_tot -0.2363 Ha/atom. Number 9: E_tot -0.2163 Ha/atom. Number 10: E_tot -0.1924 Ha/atom. Number 11: E_tot -0.2208 Ha/atom. Number 12: E_tot -0.2380 Ha/atom. Number 13: E_tot -0.1841 Ha/atom. Number 14: E_tot -0.2506 Ha/atom. Number 15: E_tot -0.2605 Ha/atom. Number 16: E_tot -0.2200 Ha/atom. Number 17: E_tot -0.2483 Ha/atom. Number 18: E_tot -0.2378 Ha/atom. Number 19: E_tot -0.2377 Ha/atom. Number 20: E_tot -0.1835 Ha/atom. Number 21: E_tot -0.2268 Ha/atom. Number 22: E_tot -0.1285 Ha/atom. Number 23: E_tot -0.2641 Ha/atom. Number 24: E_tot -0.2489 Ha/atom. Number 25: E_tot -0.2467 Ha/atom. Number 26: E_tot -0.1214 Ha/atom. Number 27: E_tot -0.2678 Ha/atom. Number 28: E_tot -0.2545 Ha/atom.